# 1
BiTeP3 | PBE | optimized geometry

M_tot in μB per cell: 0.000
Distance to the lowest polymorph of the same formula in meV per atom: 0.0
Raw total energy in eV/cell: -17.89
Density of states at the Fermi level in states/eV per cell: 4.04

```
BiTeP3
1.0
5.0592 0.0000 0.0000
0.0000 5.0592 0.0000
0.0000 0.0000 5.0592
Bi Te P
1 1 3
direct
0.0000 0.0000 0.0000
0.5000 0.5000 0.5000
0.0000 0.5000 0.5000
0.5000 0.0000 0.5000
0.5000 0.5000 0.0000
```

***

# 2
ZnCdAu3 | PBE | optimized geometry

M_tot in μB per cell: 0.000
DFT formation energy in eV/atom: -0.14
Distance to the lowest polymorph of the same formula in meV per atom: 5.2
Raw total energy in eV/cell: -38.14
Density of states at the Fermi level in states/eV per cell: 5.77

```
ZnCdAu3
1.0
6.4997 0.0000 0.0000
0.0000 6.4997 0.0000
0.0000 0.0000 6.4997
Zn Cd Au
3 3 9
direct
0.0000 0.0000 0.5000
0.0000 0.5000 0.0000
0.5000 0.0000 0.0000
0.0000 0.5000 0.5000
0.5000 0.0000 0.5000
0.5000 0.5000 0.0000
0.2265 0.2265 0.2265
0.2265 0.2265 0.7735
0.2265 0.7735 0.2265
0.2265 0.7735 0.7735
0.5000 0.5000 0.5000
0.7735 0.2265 0.2265
0.7735 0.2265 0.7735
0.7735 0.7735 0.2265
0.7735 0.7735 0.7735
```

***

# 3
SmScZn10 | PBE | optimized geometry

M_tot in μB per cell: 0.000
DFT formation energy in eV/atom: -0.24
Raw total energy in eV/cell: -26.72
Density of states at the Fermi level in states/eV per cell: 5.35

```
SmScZn10
1.0
4.2225 0.0000 0.0000
0.0000 5.2679 0.0000
0.0000 0.0000 9.1108
Sm Sc Zn
1 1 10
direct
0.0000 0.0000 0.0000
0.0000 0.5000 0.5000
0.0000 0.0000 0.3425
0.0000 0.0000 0.6575
0.0000 0.5000 0.1775
0.0000 0.5000 0.8225
0.5000 0.0000 0.5000
0.5000 0.2508 0.2529
0.5000 0.2508 0.7471
0.5000 0.5000 0.0000
0.5000 0.7492 0.2529
0.5000 0.7492 0.7471
```

***

# 4
NaHg2I | PBE | optimized geometry

M_tot in μB per cell: 0.000
Distance to the lowest polymorph of the same formula in meV per atom: 363.1
Raw total energy in eV/cell: -4.34

```
NaHg2I
1.0
2.2523 1.3004 9.9057
-2.2523 1.3004 9.9057
0.0000 -2.6007 9.9057
Na Hg I
1 2 1
direct
0.0000 0.0000 0.0000
0.0956 0.0956 0.0956
0.9044 0.9044 0.9044
0.5000 0.5000 0.5000
```

***

# 5
TmCdGa4 | PBE | optimized geometry

M_tot in μB per cell: 0.000
DFT formation energy in eV/atom: -0.18
Raw total energy in eV/cell: -18.55
Density of states at the Fermi level in states/eV per cell: 4.72

```
TmCdGa4
1.0
0.0000 3.9096 3.9096
3.9096 0.0000 3.9096
3.9096 3.9096 0.0000
Tm Cd Ga
1 1 4
direct
0.0000 0.0000 0.0000
0.7500 0.7500 0.7500
0.3747 0.3747 0.3747
0.3747 0.3747 0.8759
0.3747 0.8759 0.3747
0.8759 0.3747 0.3747
```

***

# 6
AcYTh2 | PBE | optimized geometry

M_tot in μB per cell: 0.000
DFT formation energy in eV/atom: 0.14
Distance to the lowest polymorph of the same formula in meV per atom: 22.8
Raw total energy in eV/cell: -24.87
Density of states at the Fermi level in states/eV per cell: 6.83

```
AcYTh2
1.0
5.1469 0.0000 0.0000
0.0000 5.1469 0.0000
0.0000 0.0000 5.2630
Ac Y Th
1 1 2
direct
0.0000 0.0000 0.0000
0.5000 0.5000 0.0000
0.0000 0.5000 0.5000
0.5000 0.0000 0.5000
```

***

# 7
Sm4GaRu | PBE | optimized geometry

M_tot in μB per cell: 0.000
DFT formation energy in eV/atom: -0.33
Raw total energy in eV/cell: -66.28
Density of states at the Fermi level in states/eV per cell: 13.53

```
Sm4GaRu
1.0
4.4827 -6.7635 0.0000
4.4827 6.7635 0.0000
-3.0717 0.0000 5.4942
Sm Ga Ru
8 2 2
direct
0.0593 0.7020 0.9141
0.2211 0.3535 0.6888
0.2980 0.9407 0.5859
0.3535 0.2211 0.1888
0.6465 0.7789 0.8112
0.7020 0.0593 0.4141
0.7789 0.6465 0.3112
0.9407 0.2980 0.0859
0.3711 0.6289 0.2500
0.6289 0.3711 0.7500
0.0001 0.9999 0.2500
0.9999 0.0001 0.7500
```

***

# 8
Rb2DyCuBr6 | PBE | optimized geometry

M_tot in μB per cell: 0.000
Raw total energy in eV/cell: -35.41
Density of states at the Fermi level in states/eV per cell: 0.00

```
Rb2DyCuBr6
1.0
0.0000 5.4414 5.6471
5.4204 0.0000 5.6471
5.4204 5.4414 0.0000
Rb Dy Cu Br
2 1 1 6
direct
0.2500 0.2500 0.2500
0.7500 0.7500 0.7500
0.0000 0.0000 0.0000
0.5000 0.5000 0.5000
0.2474 0.2474 0.7526
0.2570 0.7430 0.2570
0.2580 0.7420 0.7420
0.7420 0.2580 0.2580
0.7430 0.2570 0.7430
0.7526 0.7526 0.2474
```

***

# 9
Y2S2Br | PBE | optimized geometry

M_tot in μB per cell: 0.000
Raw total energy in eV/cell: -65.37
Density of states at the Fermi level in states/eV per cell: 3.71

```
Y2S2Br
1.0
6.2819 -2.7244 0.0000
6.2819 2.7244 0.0000
-2.5231 0.0000 7.7705
Y S Br
4 4 2
direct
0.0054 0.0054 0.2377
0.3387 0.3387 0.9310
0.6613 0.6613 0.0690
0.9946 0.9946 0.7623
0.1640 0.1640 0.0740
0.4964 0.4964 0.7622
0.5036 0.5036 0.2378
0.8360 0.8360 0.9260
0.1644 0.1644 0.5872
0.8356 0.8356 0.4128
```

***

# 10
ReNi3Se | PBE | optimized geometry

M_tot in μB per cell: 4.226
Raw total energy in eV/cell: -27.98
Density of states at the Fermi level in states/eV per cell: 3.08

```
ReNi3Se
1.0
4.2931 0.0000 0.0000
0.0000 4.2931 0.0000
0.0000 0.0000 4.2931
Re Ni Se
1 3 1
direct
0.0000 0.0000 0.0000
0.0000 0.5000 0.5000
0.5000 0.0000 0.5000
0.5000 0.5000 0.0000
0.5000 0.5000 0.5000
```

***

# 11
Th3CoPb | PBE | optimized geometry

M_tot in μB per cell: 0.001
DFT formation energy in eV/atom: -0.20
Distance to the lowest polymorph of the same formula in meV per atom: 38.7
Raw total energy in eV/cell: -34.07
Density of states at the Fermi level in states/eV per cell: 6.52

```
Th3CoPb
1.0
5.2969 0.0000 0.0000
0.0000 5.2969 0.0000
0.0000 0.0000 5.2969
Th Co Pb
3 1 1
direct
0.0000 0.0000 0.5000
0.0000 0.5000 0.0000
0.5000 0.0000 0.0000
0.0000 0.0000 0.0000
0.5000 0.5000 0.5000
```

***

# 12
AcNi2B | PBE | optimized geometry

M_tot in μB per cell: 0.000
DFT formation energy in eV/atom: -0.16
Distance to the lowest polymorph of the same formula in meV per atom: 0.0
Raw total energy in eV/cell: -22.99
Density of states at the Fermi level in states/eV per cell: 3.57

```
AcNi2B
1.0
1.8895 1.0909 5.2208
-1.8895 1.0909 5.2208
0.0000 -2.1818 5.2208
Ac Ni B
1 2 1
direct
0.0000 0.0000 0.0000
0.1955 0.1955 0.1955
0.8045 0.8045 0.8045
0.5000 0.5000 0.5000
```

***

# 13
Ta2InCl | PBE | optimized geometry

M_tot in μB per cell: 0.000
Distance to the lowest polymorph of the same formula in meV per atom: 0.0
Raw total energy in eV/cell: -28.80
Density of states at the Fermi level in states/eV per cell: 1.33

```
Ta2InCl
1.0
1.5253 0.8806 10.8834
-1.5253 0.8806 10.8834
0.0000 -1.7612 10.8834
Ta In Cl
2 1 1
direct
0.0000 0.0000 0.0000
0.2565 0.2565 0.2565
0.7438 0.7438 0.7438
0.5354 0.5354 0.5354
```

***

# 14
TeO | PBE | optimized geometry

M_tot in μB per cell: 0.000
Distance to the lowest polymorph of the same formula in meV per atom: 576.5
Raw total energy in eV/cell: -16.06
Density of states at the Fermi level in states/eV per cell: 1.30

```
TeO
1.0
3.2020 0.0000 0.0000
-1.6010 2.7730 0.0000
0.0000 0.0000 7.0931
Te O
2 2
direct
0.3333 0.6667 0.2500
0.6667 0.3333 0.7500
0.0000 0.0000 0.0000
0.0000 0.0000 0.5000
```

***

# 15
SrY2HoS4 | PBE | optimized geometry

M_tot in μB per cell: 0.000
Raw total energy in eV/cell: -51.61
Density of states at the Fermi level in states/eV per cell: 2.75

```
SrY2HoS4
1.0
6.9111 0.0000 0.0000
0.0000 3.9631 0.0000
-2.2601 0.0000 6.5322
Sr Y Ho S
1 2 1 4
direct
0.0000 0.0000 0.0000
0.5000 0.0000 0.5000
0.5000 0.5000 0.0000
0.0000 0.5000 0.5000
0.2529 0.0000 0.7423
0.2607 0.5000 0.2632
0.7393 0.5000 0.7368
0.7471 0.0000 0.2577
```

***

# 16
Tb5Sm2Tm5 | PBE | optimized geometry

M_tot in μB per cell: 0.000
DFT formation energy in eV/atom: 0.02
Raw total energy in eV/cell: -54.70
Density of states at the Fermi level in states/eV per cell: 16.91

```
Tb5Sm2Tm5
1.0
7.5118 -2.5005 0.0000
7.5118 2.5005 0.0000
-5.0031 0.0000 10.0198
Tb Sm Tm
5 2 5
direct
0.0000 0.0000 0.0000
0.0846 0.0846 0.7505
0.1661 0.1661 0.4995
0.8339 0.8339 0.5005
0.9154 0.9154 0.2495
0.4169 0.4169 0.7514
0.5831 0.5831 0.2486
0.2506 0.2506 0.2496
0.3319 0.3319 0.9996
0.5000 0.5000 0.5000
0.6681 0.6681 0.0004
0.7494 0.7494 0.7504
```

***

# 17
Re2OsAu | PBE | optimized geometry

M_tot in μB per cell: 0.000
DFT formation energy in eV/atom: 0.72
Distance to the lowest polymorph of the same formula in meV per atom: 470.8
Raw total energy in eV/cell: -36.51
Density of states at the Fermi level in states/eV per cell: 4.39

```
Re2OsAu
1.0
4.7285 0.0000 0.0000
0.0000 4.7285 0.0000
0.0000 0.0000 2.7978
Re Os Au
2 1 1
direct
0.0000 0.5000 0.0000
0.5000 0.0000 0.0000
0.0000 0.0000 0.5000
0.5000 0.5000 0.5000
```

***

# 18
Rb2TbRhO4 | PBE | optimized geometry

M_tot in μB per cell: 0.000
Raw total energy in eV/cell: -47.71

```
Rb2TbRhO4
1.0
5.7006 0.0000 0.0000
0.0000 3.4284 0.0000
-2.0443 0.0000 6.4453
Rb Tb Rh O
2 1 1 4
direct
0.0000 0.0000 0.0000
0.5000 0.5000 0.0000
0.0000 0.5000 0.5000
0.5000 0.0000 0.5000
0.2381 0.0000 0.6810
0.2984 0.5000 0.3311
0.7016 0.5000 0.6689
0.7619 0.0000 0.3190
```

***

# 19
Zr4ScIr | PBE | optimized geometry

M_tot in μB per cell: 0.000
DFT formation energy in eV/atom: 0.26
Raw total energy in eV/cell: -47.84
Density of states at the Fermi level in states/eV per cell: 9.79

```
Zr4ScIr
1.0
0.0000 4.0049 4.0049
4.0049 0.0000 4.0049
4.0049 4.0049 0.0000
Zr Sc Ir
4 1 1
direct
0.1247 0.1247 0.1247
0.1247 0.1247 0.6259
0.1247 0.6259 0.1247
0.6259 0.1247 0.1247
0.5000 0.5000 0.5000
0.7500 0.7500 0.7500
```

***

# 20
DySc2In3 | PBE | optimized geometry

M_tot in μB per cell: 2.080
DFT formation energy in eV/atom: -0.43
Raw total energy in eV/cell: -56.12
Density of states at the Fermi level in states/eV per cell: 8.81

```
DySc2In3
1.0
2.3251 -6.9658 0.0000
2.3251 6.9658 0.0000
0.0000 0.0000 8.8128
Dy Sc In
2 4 6
direct
0.1633 0.8367 0.0000
0.8367 0.1633 0.0000
0.1671 0.8329 0.5000
0.5000 0.5000 0.0000
0.5000 0.5000 0.5000
0.8329 0.1671 0.5000
0.0000 0.0000 0.2584
0.0000 0.0000 0.7416
0.3351 0.6649 0.2584
0.3351 0.6649 0.7416
0.6649 0.3351 0.2584
0.6649 0.3351 0.7416
```

***

# 21
Ho6TlNi | PBE | optimized geometry

M_tot in μB per cell: 0.000
DFT formation energy in eV/atom: 0.03
Raw total energy in eV/cell: -35.35
Density of states at the Fermi level in states/eV per cell: 10.34

```
Ho6TlNi
1.0
6.9254 0.0000 0.0000
-3.4584 6.0157 0.0000
-3.4398 -1.9994 5.9686
Ho Tl Ni
6 1 1
direct
0.0512 0.0808 0.2609
0.2901 0.7092 0.2606
0.3180 0.5284 0.7396
0.6820 0.4716 0.2604
0.7099 0.2908 0.7394
0.9488 0.9192 0.7391
0.5000 0.0000 0.0000
0.5000 0.5000 0.5000
```

***

# 22
Na2ZnHg | PBE | optimized geometry

M_tot in μB per cell: 0.000
DFT formation energy in eV/atom: 0.00
Raw total energy in eV/cell: -4.20
Density of states at the Fermi level in states/eV per cell: 1.63

```
Na2ZnHg
1.0
1.7167 0.9912 10.0338
-1.7167 0.9912 10.0338
0.0000 -1.9823 10.0338
Na Zn Hg
2 1 1
direct
0.0000 0.0000 0.0000
0.1629 0.1629 0.1629
0.4149 0.4149 0.4149
0.5813 0.5813 0.5813
```

***

# 23
Ti3Fe | PBE | optimized geometry

M_tot in μB per cell: 0.000
DFT formation energy in eV/atom: -0.09
Raw total energy in eV/cell: -65.04
Density of states at the Fermi level in states/eV per cell: 8.91

```
Ti3Fe
1.0
0.0000 4.7511 6.2495
2.1006 0.0000 6.2495
2.1006 4.7511 0.0000
Ti Fe
6 2
direct
0.1429 0.8571 0.1429
0.1864 0.4887 0.5113
0.4887 0.1864 0.8136
0.5113 0.8136 0.1864
0.8136 0.5113 0.4887
0.8571 0.1429 0.8571
0.1709 0.1709 0.8291
0.8291 0.8291 0.1709
```

***

# 24
RbSiTe2N | PBE | optimized geometry

M_tot in μB per cell: 0.000
Distance to the lowest polymorph of the same formula in meV per atom: 0.0
Raw total energy in eV/cell: -21.34
Density of states at the Fermi level in states/eV per cell: 4.38

```
RbSiTe2N
1.0
6.2511 0.0000 0.0000
0.0000 6.2511 0.0000
0.0000 0.0000 3.2867
Rb Si Te N
1 1 2 1
direct
0.0000 0.0000 0.0000
0.5000 0.5000 0.5000
0.0000 0.5000 0.5000
0.5000 0.0000 0.5000
0.5000 0.5000 0.0000
```

***

# 25
Ce2NdTh | PBE | optimized geometry

M_tot in μB per cell: 0.007
DFT formation energy in eV/atom: 0.10
Distance to the lowest polymorph of the same formula in meV per atom: 39.6
Raw total energy in eV/cell: -23.67
Density of states at the Fermi level in states/eV per cell: 9.67

```
Ce2NdTh
1.0
4.9239 0.0000 0.0000
0.0000 4.9239 0.0000
0.0000 0.0000 4.9869
Ce Nd Th
2 1 1
direct
0.0000 0.5000 0.0000
0.5000 0.0000 0.0000
0.0000 0.0000 0.5000
0.5000 0.5000 0.5000
```

***

# 26
Tb2EuNi | PBE | optimized geometry

M_tot in μB per cell: 7.980
DFT formation energy in eV/atom: -0.14
Raw total energy in eV/cell: -25.86
Density of states at the Fermi level in states/eV per cell: 3.47

```
Tb2EuNi
1.0
3.4744 0.0000 0.0000
0.0000 3.4744 0.0000
0.0000 0.0000 9.1832
Tb Eu Ni
2 1 1
direct
0.0000 0.0000 0.1737
0.0000 0.0000 0.8263
0.5000 0.5000 0.5000
0.5000 0.5000 0.0000
```